[1]
An optimized crystal structure of Al2MoRu, computed with PBE.

Values from the calculation:
DFT formation energy	-0.20	eV per atom
DFT total energy	-28.38	eV/cell
crystal system	tetragonal

Lattice parameters (Å, degrees): 3.981 3.981 3.707 90.00 90.00 90.00
Space group P4/mmm (No. 123)
Symmetry-distinct sites (fractional):
Al: 0.000 0.500 0.000 [2 per cell]
Mo: 0.000 0.000 0.500 [1 per cell]
Ru: 0.500 0.500 0.500 [1 per cell]


[2]
An optimized crystal structure of Pu3InRh3, computed with PBE.

Values from the calculation:
DFT formation energy	-0.18	eV per atom
DFT total energy	-276.33	eV/cell
crystal system	orthorhombic

Lattice parameters (Å, degrees): 9.364 12.807 4.664 90.00 90.00 90.00
Space group Cmcm (No. 63)
Symmetry-distinct sites (fractional):
Pu: 0.000 0.209 0.250 [4 per cell]
Pu: 0.225 0.326 0.250 [8 per cell]
In: 0.000 0.400 0.750 [4 per cell]
Rh: 0.000 0.083 0.750 [4 per cell]
Rh: 0.211 0.064 0.250 [8 per cell]


[3]
An optimized crystal structure of Ag2WAu, computed with PBE.

Values from the calculation:
DFT formation energy	0.46	eV per atom
DFT total energy	-40.15	eV/cell
crystal system	orthorhombic

Lattice parameters (Å, degrees): 4.454 2.728 11.439 90.00 90.00 90.00
Space group Amm2 (No. 38)
Symmetry-distinct sites (fractional):
Ag: 0.000 0.000 0.000 [2 per cell]
Ag: 0.500 0.000 0.394 [2 per cell]
W: 0.000 0.000 0.746 [2 per cell]
Au: 0.500 0.000 0.152 [2 per cell]


[4]
An optimized crystal structure of TiV2Ga4, computed with PBE.

Values from the calculation:
DFT formation energy	-0.20	eV per atom
DFT total energy	-79.35	eV/cell
crystal system	orthorhombic

Lattice parameters (Å, degrees): 6.415 8.406 4.165 90.00 90.00 90.00
Space group Cmmm (No. 65)
Symmetry-distinct sites (fractional):
Ti: 0.000 0.000 0.000 [2 per cell]
V: 0.000 0.200 0.500 [4 per cell]
Ga: 0.193 0.500 0.500 [4 per cell]
Ga: 0.250 0.250 0.000 [4 per cell]


[5]
An optimized crystal structure of Pu2VGe3, computed with PBE.

Values from the calculation:
DFT formation energy	-0.27	eV per atom
DFT total energy	-212.91	eV/cell
crystal system	monoclinic

Lattice parameters (Å, degrees): 5.829 12.943 7.054 90.00 111.67 90.00
Space group C2/c (No. 15)
Symmetry-distinct sites (fractional):
Pu: 0.000 0.033 0.250 [4 per cell]
Pu: 0.000 0.321 0.250 [4 per cell]
V: 0.000 0.362 0.750 [4 per cell]
Ge: 0.000 0.500 0.000 [4 per cell]
Ge: 0.063 0.182 0.949 [8 per cell]


[6]
An optimized crystal structure of Ba4Sn2Bi5, computed with PBE.

Values from the calculation:
DFT formation energy	-0.65	eV per atom
DFT total energy	-42.30	eV/cell
crystal system	monoclinic

Lattice parameters (Å, degrees): 8.309 5.144 10.088 90.00 95.67 90.00
Space group P2/m (No. 10)
Symmetry-distinct sites (fractional):
Ba: 0.226 0.000 0.375 [2 per cell]
Ba: 0.247 0.000 0.903 [2 per cell]
Sn: 0.080 0.500 0.135 [2 per cell]
Bi: 0.141 0.500 0.626 [2 per cell]
Bi: 0.445 0.500 0.164 [2 per cell]
Bi: 0.500 0.500 0.500 [1 per cell]


[7]
An optimized crystal structure of BaSr3Pd, computed with PBE.

Values from the calculation:
DFT formation energy	-0.15	eV per atom
DFT total energy	-51.64	eV/cell
crystal system	orthorhombic

Lattice parameters (Å, degrees): 9.794 13.090 7.474 90.00 90.00 90.00
Space group Cmcm (No. 63)
Symmetry-distinct sites (fractional):
Ba: 0.000 0.080 0.250 [4 per cell]
Sr: 0.000 0.500 0.000 [4 per cell]
Sr: 0.197 0.207 0.750 [8 per cell]
Pd: 0.000 0.310 0.250 [4 per cell]


[8]
An optimized crystal structure of LiCdBr2, computed with PBE.

Values from the calculation:
E_form (uncorrected)	-0.7782	eV per atom
DFT total energy	-9.29	eV/cell
crystal system	orthorhombic

Lattice parameters (Å, degrees): 3.966 4.117 7.532 90.00 90.00 90.00
Space group Pmmm (No. 47)
Symmetry-distinct sites (fractional):
Li: 0.000 0.000 0.000 [1 per cell]
Cd: 0.000 0.500 0.500 [1 per cell]
Br: 0.500 0.000 0.500 [1 per cell]
Br: 0.500 0.500 0.000 [1 per cell]


[9]
An optimized crystal structure of Tb3Co3Ni, computed with PBE.

Values from the calculation:
DFT formation energy	-0.22	eV per atom
DFT total energy	-170.18	eV/cell
crystal system	orthorhombic

Lattice parameters (Å, degrees): 4.208 9.852 12.371 90.00 90.00 90.00
Space group Cmcm (No. 63)
Symmetry-distinct sites (fractional):
Tb: 0.000 0.016 0.250 [4 per cell]
Tb: 0.000 0.275 0.603 [8 per cell]
Co: 0.000 0.318 0.250 [4 per cell]
Co: 0.000 0.434 0.087 [8 per cell]
Ni: 0.000 0.000 0.000 [4 per cell]


[10]
An optimized crystal structure of CsRu2Cl8, computed with PBE.

Values from the calculation:
E_form (uncorrected)	-0.7079	eV per atom
DFT total energy	-41.97	eV/cell
crystal system	monoclinic

Lattice parameters (Å, degrees): 6.972 4.822 10.190 90.00 94.86 90.00
Space group P2/m (No. 10)
Symmetry-distinct sites (fractional):
Cs: 0.000 0.000 0.000 [1 per cell]
Ru: 0.453 0.500 0.673 [2 per cell]
Cl: 0.171 0.500 0.776 [2 per cell]
Cl: 0.278 0.500 0.460 [2 per cell]
Cl: 0.347 0.500 0.134 [2 per cell]
Cl: 0.456 0.000 0.674 [2 per cell]


[11]
An optimized crystal structure of MgCo2Cl, computed with PBE.

Values from the calculation:
E_form (uncorrected)	0.2616	eV per atom
DFT total energy	-33.21	eV/cell
crystal system	orthorhombic

Lattice parameters (Å, degrees): 3.024 3.883 10.886 90.00 90.00 90.00
Space group Immm (No. 71)
Symmetry-distinct sites (fractional):
Mg: 0.000 0.000 0.000 [2 per cell]
Co: 0.000 0.500 0.260 [4 per cell]
Cl: 0.000 0.000 0.500 [2 per cell]


[12]
An optimized crystal structure of NaNpTeO5, computed with PBE.

Values from the calculation:
E_form (uncorrected)	-1.9555	eV per atom
DFT total energy	-231.35	eV/cell
crystal system	monoclinic

Lattice parameters (Å, degrees): 8.326 8.984 8.520 90.00 118.79 90.00
Space group C2/c (No. 15)
Symmetry-distinct sites (fractional):
Na: 0.000 0.065 0.250 [4 per cell]
Np: 0.250 0.250 0.000 [4 per cell]
Te: 0.000 0.435 0.250 [4 per cell]
O: 0.000 0.246 0.750 [4 per cell]
O: 0.085 0.286 0.149 [8 per cell]
O: 0.240 0.023 0.021 [8 per cell]


[13]
An optimized crystal structure of HfMgMn2Zn, computed with PBE.

Values from the calculation:
DFT formation energy	1.31	eV per atom
DFT total energy	-24.59	eV/cell
crystal system	tetragonal

Lattice parameters (Å, degrees): 4.695 4.695 5.449 90.00 90.00 90.00
Space group P4/mmm (No. 123)
Symmetry-distinct sites (fractional):
Hf: 0.000 0.000 0.000 [1 per cell]
Mg: 0.000 0.000 0.500 [1 per cell]
Mn: 0.000 0.500 0.000 [2 per cell]
Zn: 0.500 0.500 0.500 [1 per cell]


[14]
An optimized crystal structure of Ni3HgH, computed with PBE.

Values from the calculation:
DFT total energy	-20.60	eV/cell
crystal system	cubic

Lattice parameters (Å, degrees): 3.794 3.794 3.794 90.00 90.00 90.00
Space group Pm-3m (No. 221)
Symmetry-distinct sites (fractional):
Ni: 0.000 0.000 0.500 [3 per cell]
Hg: 0.500 0.500 0.500 [1 per cell]
H: 0.000 0.000 0.000 [1 per cell]


[15]
An optimized crystal structure of Tb3CeDy3Se8, computed with PBE.

Values from the calculation:
E_form (uncorrected)	-1.8145	eV per atom
DFT total energy	-266.17	eV/cell
crystal system	trigonal

Lattice parameters (Å, degrees): 8.1660 8.1660 19.9875 90.00 90.00 120.00
Space group R-3m (No. 166, hexagonal axes)
Symmetry-distinct sites (fractional):
Tb: 0.0000 0.5000 0.0000 [9 per cell]
Ce: 0.0000 0.0000 0.5000 [3 per cell]
Dy: 0.0000 0.5000 0.5000 [9 per cell]
Se: 0.0000 0.0000 0.2494 [6 per cell]
Se: 0.0125 0.5063 0.7475 [18 per cell]